Below is a relaxed structure of LiZrMo2Pb, with properties calculated at the PBE-GGA level.

Lattice parameters (Å, degrees): 5.0967 5.0967 5.3843 90.00 90.00 90.00
Element x y z (fractional)
1 Li 0.0000 0.0000 0.0000
2 Zr 0.5000 0.5000 0.0000
3 Mo 0.0000 0.5000 0.5000
4 Mo 0.5000 0.0000 0.5000
5 Pb 0.5000 0.5000 0.5000

Calculated values
- Calculated formation energy: 2.01 eV/atom
- DOS at the Fermi energy: 6.5 states/eV/f.u.
- Volume: 27.97 A^3/atom